1.
Below is an optimized crystal structure of Ce2DyTh4, with properties calculated at the GGA-PBE level.

## Properties
Total DFT energy (no corrections) ... -6.316 eV per atom
Formation enthalpy at 0 K ... 26.70 kJ per mole of atoms

```
Ce2DyTh4
1.0
7.9233 0.0000 0.0000
0.0000 7.9233 0.0000
0.0000 0.0000 3.5438
Ce Dy Th
2 1 4
Direct
0.0000 0.5000 0.0000
0.5000 0.0000 0.0000
0.0000 0.0000 0.5000
0.2993 0.2993 0.3328
0.2993 0.7007 0.6672
0.7007 0.2993 0.6672
0.7007 0.7007 0.3328
```

2.
Below is an optimized crystal structure of SrPdSe, with properties calculated at the GGA-PBE level.

## Properties
Total DFT energy (no corrections) ... -4.563 eV per atom
Formation energy from raw total energies ... -1.110 eV per atom

```
SrPdSe
1.0
5.3710 -2.1221 0.0000
5.3710 2.1221 0.0000
-1.2345 0.0000 6.5711
Sr Pd Se
2 2 2
Direct
0.0000 0.0000 0.0000
0.6613 0.6613 0.5316
0.3257 0.3257 0.3022
0.7252 0.7252 0.0667
0.2705 0.2705 0.8709
0.9440 0.9440 0.4664
```

3.
Below is an optimized crystal structure of La2Pm7Er, with properties calculated at the GGA-PBE level.

## Properties
Total DFT energy (no corrections) ... -4.623 eV per atom
Formation enthalpy at 0 K ... 13.89 kJ per mole of atoms

```
La2Pm7Er
1.0
3.3810 -14.7407 0.0000
3.3810 14.7407 0.0000
0.0000 0.0000 3.5065
La Pm Er
2 7 1
Direct
0.2040 0.7960 0.0000
0.7960 0.2040 0.0000
0.0000 0.0000 0.0000
0.1595 0.3541 0.0000
0.3130 0.6870 0.5000
0.3541 0.1595 0.0000
0.6459 0.8405 0.0000
0.6870 0.3130 0.5000
0.8405 0.6459 0.0000
0.5000 0.5000 0.5000
```

4.
Below is an optimized crystal structure of HOsPd2Rh, with properties calculated at the GGA-PBE level.

## Properties
Total DFT energy (no corrections) ... -6.168 eV per atom

```
HOsPd2Rh
1.0
3.9693 0.0000 0.0000
0.0000 3.9693 0.0000
0.0000 0.0000 3.9004
H Os Pd Rh
1 1 2 1
Direct
0.0000 0.0000 0.0000
0.0000 0.0000 0.5000
0.0000 0.5000 0.0000
0.5000 0.0000 0.0000
0.5000 0.5000 0.5000
```

5.
Below is an optimized crystal structure of BaAc2In2Hg2, with properties calculated at the GGA-PBE level.

## Properties
Total DFT energy (no corrections) ... -2.668 eV per atom
Formation enthalpy at 0 K ... -33.85 kJ per mole of atoms

```
BaAc2In2Hg2
1.0
2.5987 1.5004 10.5318
-2.5987 1.5004 10.5318
0.0000 -3.0008 10.5318
Ba Ac In Hg
1 2 2 2
Direct
0.0000 0.0000 0.0000
0.1281 0.1281 0.1281
0.8719 0.8719 0.8719
0.2550 0.2550 0.2550
0.7450 0.7450 0.7450
0.4093 0.4093 0.4093
0.5907 0.5907 0.5907
```

6.
Below is an optimized crystal structure of AcSn2Se3, with properties calculated at the GGA-PBE level.

## Properties
Total DFT energy (no corrections) ... -4.670 eV per atom
Formation energy from raw total energies ... -0.909 eV per atom

```
AcSn2Se3
1.0
8.7556 0.0000 0.0000
0.0000 4.3668 0.0000
-3.8886 0.0000 11.1653
Ac Sn Se
2 4 6
Direct
0.1853 0.2500 0.1772
0.8147 0.7500 0.8228
0.2423 0.7500 0.4964
0.4981 0.2500 0.9043
0.5019 0.7500 0.0957
0.7577 0.2500 0.5036
0.0476 0.2500 0.3810
0.1764 0.7500 0.9855
0.4195 0.7500 0.3252
0.5805 0.2500 0.6748
0.8236 0.2500 0.0145
0.9524 0.7500 0.6190
```

7.
Below is an optimized crystal structure of In2SiAu, with properties calculated at the GGA-PBE level.

## Properties
Total DFT energy (no corrections) ... -3.413 eV per atom
Formation energy from raw total energies ... 0.131 eV per atom

```
In2SiAu
1.0
3.3308 0.0000 0.0000
0.0000 3.3308 0.0000
0.0000 0.0000 7.9725
In Si Au
2 1 1
Direct
0.0000 0.0000 0.0000
0.5000 0.5000 0.3237
0.0000 0.0000 0.5808
0.5000 0.5000 0.7363
```

8.
Below is an optimized crystal structure of AlAsIr2, with properties calculated at the GGA-PBE level.

## Properties
Total DFT energy (no corrections) ... -6.701 eV per atom
Formation enthalpy at 0 K ... -16.64 kJ per mole of atoms
ΔE to the lowest computed polymorph ... 3.45 kcal/mol of atoms

```
AlAsIr2
1.0
0.0000 3.0977 3.0977
3.0977 0.0000 3.0977
3.0977 3.0977 0.0000
Al As Ir
1 1 2
Direct
0.0000 0.0000 0.0000
0.5000 0.5000 0.5000
0.2500 0.2500 0.2500
0.7500 0.7500 0.7500
```

Q: total DFT energy (no corrections) of number 5 (BaAc2In2Hg2)?
A: -2.668 eV per atom